(a)
A plane-wave DFT calculation with PBE was carried out for a relaxed structure of B5C7.

Calculated values
M_tot: 0.00 μB per cell

a = 2.5453 Å, b = 2.5453 Å, c = 13.8533 Å
α = 90.00°, β = 90.00°, γ = 120.00°
Space group P3m1 (No. 156)
One atom of each set of equivalent atoms:
B (0.0000, 0.0000, 0.0000) (multiplicity 1)
B (0.0000, 0.0000, 0.1205) (multiplicity 1)
B (0.0000, 0.0000, 0.6135) (multiplicity 1)
B (0.3333, 0.6667, 0.1963) (multiplicity 1)
B (0.6667, 0.3333, 0.9238) (multiplicity 1)
C (0.0000, 0.0000, 0.4958) (multiplicity 1)
C (0.3333, 0.6667, 0.3108) (multiplicity 1)
C (0.3333, 0.6667, 0.6618) (multiplicity 1)
C (0.3333, 0.6667, 0.7709) (multiplicity 1)
C (0.6667, 0.3333, 0.3470) (multiplicity 1)
C (0.6667, 0.3333, 0.4609) (multiplicity 1)
C (0.6667, 0.3333, 0.8096) (multiplicity 1)

(b)
A plane-wave DFT calculation with PBE was carried out for a relaxed structure of B5C7.

Calculated values
M_tot: 0.00 μB per cell

a = 11.9950 Å, b = 2.5450 Å, c = 5.3862 Å
α = 90.00°, β = 105.06°, γ = 90.00°
Space group Cm (No. 8)
One atom of each set of equivalent atoms:
B (0.0000, 0.0000, 0.0000) (multiplicity 2)
B (0.0083, 0.0000, 0.4873) (multiplicity 2)
B (0.1031, 0.5000, 0.9974) (multiplicity 2)
B (0.1996, 0.5000, 0.3747) (multiplicity 2)
B (0.3440, 0.0000, 0.6600) (multiplicity 2)
C (0.1115, 0.5000, 0.5455) (multiplicity 2)
C (0.1894, 0.5000, 0.8240) (multiplicity 2)
C (0.2659, 0.0000, 0.3407) (multiplicity 2)
C (0.2669, 0.0000, 0.8702) (multiplicity 2)
C (0.3449, 0.0000, 0.1541) (multiplicity 2)
C (0.4226, 0.5000, 0.1983) (multiplicity 2)
C (0.4347, 0.5000, 0.6949) (multiplicity 2)

Most stable structure, least stable structure: (a), (b).